The following is a DFT calculation (GGA-PBE) of crystalline HgTeSeBr2 at its relaxed geometry.

Unit cell a=5.633 b=5.633 c=5.431 alpha=90.00 beta=90.00 gamma=90.00
Positions (direct):
Se 0.000 0.000 0.500
Te 0.000 0.000 0.000
Br 0.500 0.000 0.000
Br 0.000 0.500 0.000
Hg 0.500 0.500 0.500

energy relative to the elements, uncorrected = 0.050 eV/atom
DOS at the Fermi energy = 0.952 states/eV per atom
distance to the lowest polymorph of the same formula = 0.0000 eV/atom
E = -2.01 eV per atom
mass density = 5.5 g/cm³
volume = 34.47 A^3/atom


The following is a DFT calculation (GGA-PBE) of crystalline TiHgSeBr2 at its relaxed geometry.

Unit cell a=5.235 b=5.235 c=4.938 alpha=90.00 beta=90.00 gamma=90.00
Positions (direct):
Ti 0.000 0.000 0.000
Se 0.000 0.000 0.500
Hg 0.500 0.500 0.500
Br 0.000 0.500 0.000
Br 0.500 0.000 0.000

energy relative to the elements, uncorrected = -0.598 eV/atom
DOS at the Fermi energy = 0.441 states/eV per atom
distance to the lowest polymorph of the same formula = 0.0000 eV/atom
E = -3.60 eV per atom
mass density = 6.0 g/cm³
volume = 27.06 A^3/atom


The following is a DFT calculation (GGA-PBE) of crystalline TiHgSeBr2 at its relaxed geometry.

Unit cell a=5.607 b=5.216 c=5.607 alpha=90.00 beta=90.00 gamma=90.00
Last column: magnetic moment on the atom in μB.
Positions (direct):
Br 0.000 0.000 0.500  0.00
Br 0.500 0.000 0.000  0.02
Ti 0.500 0.500 0.500  0.21
Se 0.000 0.000 0.000  0.01
Hg 0.000 0.500 0.000  0.02

energy relative to the elements, uncorrected = 0.685 eV/atom
DOS at the Fermi energy = 0.960 states/eV per atom
distance to the lowest polymorph of the same formula = 1.2829 eV/atom
E = -2.32 eV per atom
mass density = 4.9 g/cm³
volume = 32.80 A^3/atom


The following is a DFT calculation (GGA-PBE) of crystalline TlHg6Se4Br5 at its relaxed geometry.

Unit cell a=11.535 b=11.535 c=11.535 alpha=98.75 beta=98.75 gamma=134.08
Positions (direct):
Hg 0.216 0.084 0.787
Hg 0.297 0.429 0.213
Hg 0.870 0.252 0.122
Hg 0.784 0.916 0.213
Hg 0.084 0.297 0.868
Hg 0.252 0.130 0.382
Hg 0.571 0.784 0.868
Hg 0.130 0.748 0.878
Hg 0.429 0.216 0.132
Hg 0.703 0.571 0.787
Hg 0.748 0.870 0.618
Hg 0.916 0.703 0.132
Se 0.480 0.404 0.331
Se 0.596 0.927 0.076
Se 0.520 0.596 0.669
Se 0.851 0.520 0.924
Se 0.149 0.480 0.076
Se 0.927 0.851 0.331
Se 0.404 0.073 0.924
Se 0.073 0.149 0.669
Br 0.000 0.000 0.000
Br 0.565 0.830 0.396
Br 0.500 0.500 0.000
Br 0.170 0.565 0.735
Br 0.315 0.938 0.252
Br 0.938 0.685 0.623
Br 0.830 0.435 0.265
Br 0.062 0.315 0.377
Br 0.435 0.170 0.604
Br 0.685 0.062 0.748
Tl 0.250 0.750 0.500
Tl 0.750 0.250 0.500

energy relative to the elements, uncorrected = -0.407 eV/atom
DOS at the Fermi energy = 0.000 states/eV per atom
E = -2.06 eV per atom
mass density = 6.9 g/cm³
volume = 31.72 A^3/atom


The following is a DFT calculation (GGA-PBE) of crystalline TlHg2Se2Br at its relaxed geometry.

Unit cell a=6.928 b=6.546 c=10.168 alpha=106.94 beta=90.00 gamma=90.00
Positions (direct):
Br 0.250 0.243 0.053
Br 0.750 0.757 0.947
Hg 0.997 0.813 0.652
Hg 0.497 0.187 0.348
Hg 0.003 0.187 0.348
Hg 0.503 0.813 0.652
Se 0.750 0.458 0.345
Se 0.750 0.088 0.642
Se 0.250 0.912 0.358
Se 0.250 0.542 0.655
Tl 0.750 0.278 0.994
Tl 0.250 0.722 0.006

energy relative to the elements, uncorrected = -0.371 eV/atom
DOS at the Fermi energy = 0.000 states/eV per atom
E = -2.31 eV per atom
mass density = 6.3 g/cm³
volume = 36.76 A^3/atom


The following is a DFT calculation (GGA-PBE) of crystalline Tl2HgSeBr6 at its relaxed geometry.

Unit cell a=8.122 b=8.108 c=11.099 alpha=90.00 beta=88.64 gamma=90.00
Positions (direct):
Br 0.616 0.937 0.783
Br 0.314 0.242 0.533
Br 0.116 0.563 0.283
Br 0.384 0.063 0.217
Br 0.825 0.254 0.418
Br 0.686 0.758 0.467
Br 0.884 0.437 0.717
Br 0.175 0.746 0.582
Br 0.814 0.258 0.033
Br 0.186 0.742 0.967
Br 0.675 0.754 0.082
Br 0.325 0.246 0.918
Tl 0.018 0.052 0.767
Tl 0.982 0.948 0.233
Tl 0.518 0.448 0.267
Tl 0.482 0.552 0.733
Se 0.500 0.000 0.000
Se 0.000 0.500 0.500
Hg 0.000 0.500 0.000
Hg 0.500 0.000 0.500

energy relative to the elements, uncorrected = -0.485 eV/atom
E = -2.34 eV per atom
mass density = 5.3 g/cm³
volume = 36.53 A^3/atom


- Which of these has the lowest E?
  number 2


- Look up the energy relative to the elements, uncorrected of the third one.
  0.685 eV/atom


- mass density of number 2 (TiHgSeBr2)?
  6.0 g/cm³